## Na3Tl3SnSe8 (PBE)

Data for a relaxed structure of Na3Tl3SnSe8.

Computed properties:
The energy relative to the elements, uncorrected comes out at -0.4826 eV per atom. The calculation puts the density at 5.73 g cm⁻³. For the density of states at the Fermi level, the calculation gives 0.2878 states/eV/atom.

```
15
Lattice="7.0717 -4.0743 0.0000 7.0717 4.0743 0.0000 -4.7223 0.0000 7.2051" Properties=species:S:1:pos:R:3 pbc="T T T"
Na 0.0000 0.0000 0.0000
Na 3.5359 2.0372 0.0000
Na 3.5359 -2.0372 0.0000
Tl 1.1747 2.0372 3.6025
Tl 1.1747 -2.0372 3.6025
Tl 4.7106 0.0000 3.6025
Sn -2.3611 0.0000 3.6025
Se -0.1173 0.0000 5.2018
Se 3.5929 2.1347 5.2040
Se 5.8282 2.1347 2.0011
Se 2.3477 0.0000 1.9888
Se 7.0734 0.0000 5.2163
Se 3.5929 -2.1347 5.2040
Se 5.8282 -2.1347 2.0011
Se 9.5385 0.0000 2.0033
```